Entry 1:
HfScGaBi2, relaxed, DFT PBE; magnetization = 0.0 Bohr magnetons per cell; E = -24.48 eV for the cell shown; E_form = 0.519 eV per atom; space-group type = P4/mmm (123)
1.0
-4.405 -0.152 -3.490
-2.703 -2.984 3.542
-2.042 4.668 2.374
Bi Sc Ga Hf
2 1 1 1
direct
0.500 0.000 0.000
0.000 0.000 0.500
0.000 0.500 0.000
0.500 0.500 0.500
0.000 0.000 0.000

=====

Entry 2:
YHfGaBi2, relaxed, DFT PBE; magnetization = 0.0 Bohr magnetons per cell; E = -22.73 eV for the cell shown; E_form = 0.895 eV per atom; space-group type = P4/mmm (123)
1.0
5.820 0.000 0.000
0.000 5.482 0.000
0.000 0.000 5.820
Ga Y Hf Bi
1 1 1 2
direct
0.500 0.500 0.500
0.000 0.000 0.000
0.000 0.500 0.000
0.500 0.000 0.000
0.000 0.000 0.500

=====

Entry 3:
HfZr2GaBi, relaxed, DFT PBE; magnetization = 0.0 Bohr magnetons per cell; E = -30.66 eV for the cell shown; E_form = 0.659 eV per atom; space-group type = P4/mmm (123)
1.0
5.037 0.000 0.000
0.000 5.250 0.000
0.000 0.000 5.037
Hf Bi Zr Ga
1 1 2 1
direct
0.500 0.500 0.500
0.000 0.500 0.000
0.500 0.000 0.000
0.000 0.000 0.500
0.000 0.000 0.000